# YMn | the Alexandria database | PBE-GGA | optimized geometry
# Formation energy from the elements (eV/atom): 0.38
# N(E_F) (states/eV/f.u.): 2.187
# Mass density (g/cm3): 5.86
# Uncorrected energy (eV/atom): -7.440
data_YMn
_chemical_formula_sum 'Y16 Mn16'
_cell_length_a 5.616
_cell_length_b 8.694
_cell_length_c 13.361
_cell_angle_alpha 90.00
_cell_angle_beta 90.00
_cell_angle_gamma 90.00
_space_group_name_H-M_alt 'F d d d'
_space_group_IT_number 70
loop_
_space_group_symop_operation_xyz
'x,y,z'
'-x,-y,-z'
'-x+1/4,-y+1/4,z'
'x+1/4,y+1/4,-z'
'x,-y+1/4,-z+1/4'
'-x,y+1/4,z+1/4'
'-x+1/4,y,-z+1/4'
'x+1/4,-y,z+1/4'
'x,y+1/2,z+1/2'
'-x,-y+1/2,-z+1/2'
'-x+1/4,-y+3/4,z+1/2'
'x+1/4,y+3/4,-z+1/2'
'x,-y+3/4,-z+3/4'
'-x,y+3/4,z+3/4'
'-x+1/4,y+1/2,-z+3/4'
'x+1/4,-y+1/2,z+3/4'
'x+1/2,y,z+1/2'
'-x+1/2,-y,-z+1/2'
'-x+3/4,-y+1/4,z+1/2'
'x+3/4,y+1/4,-z+1/2'
'x+1/2,-y+1/4,-z+3/4'
'-x+1/2,y+1/4,z+3/4'
'-x+3/4,y,-z+3/4'
'x+3/4,-y,z+3/4'
'x+1/2,y+1/2,z'
'-x+1/2,-y+1/2,-z'
'-x+3/4,-y+3/4,z'
'x+3/4,y+3/4,-z'
'x+1/2,-y+3/4,-z+1/4'
'-x+1/2,y+3/4,z+1/4'
'-x+3/4,y+1/2,-z+1/4'
'x+3/4,-y+1/2,z+1/4'
loop_
_atom_site_label
_atom_site_type_symbol
_atom_site_fract_x
_atom_site_fract_y
_atom_site_fract_z
Y1 Y 0.125 0.297 0.125
Mn1 Mn 0.125 0.125 0.550